# 1
Density functional theory data (PBE-GGA) for Ba6AgPd after structural relaxation.

abc: 8.0102 8.0102 23.1118
angles: 90.00 90.00 120.00
Space group R-3 (No. 148, hexagonal axes)
Inequivalent atoms, fractional coordinates:
Ba 0.0024 0.3249 0.4192 (multiplicity 18)
Ag 0.0000 0.0000 0.0000 (multiplicity 3)
Pd 0.0000 0.0000 0.5000 (multiplicity 3)

Values from the calculation:
Calculated formation energy   -0.2185 eV per atom
Energy relative to the lowest polymorph listed for this composition   0.06 kcal/mol of atoms
Density   4.028 g/cm3

=====

# 2
Density functional theory data (PBE-GGA) for Na2TaIr2S6 after structural relaxation.

abc: 5.936 11.103 7.075
angles: 90.00 107.48 90.00
Space group C2/m (No. 12)
Inequivalent atoms, fractional coordinates:
Na 0.000 0.163 0.000 (multiplicity 4)
Ta 0.000 0.000 0.500 (multiplicity 2)
Ir 0.000 0.338 0.500 (multiplicity 4)
S 0.223 0.500 0.704 (multiplicity 4)
S 0.228 0.178 0.690 (multiplicity 8)

Values from the calculation:
Formation energy without anion corrections   -698 meV per atom
Density   6.001 g/cm3

=====

# 3
Density functional theory data (PBE-GGA) for TcHPd after structural relaxation.

abc: 4.890 5.505 4.887
angles: 90.00 90.00 90.00
Space group Pnma (No. 62)
Inequivalent atoms, fractional coordinates:
Tc 0.000 0.000 0.000 (multiplicity 4)
H 0.204 0.250 0.203 (multiplicity 4)
Pd 0.004 0.250 0.520 (multiplicity 4)

Values from the calculation:
Energy relative to the lowest polymorph listed for this composition   8.15 kcal/mol of atoms
Density   10.370 g/cm3

=====

# 4
Density functional theory data (PBE-GGA) for Tm2CuPb after structural relaxation.

abc: 3.429 3.429 8.113
angles: 90.00 90.00 90.00
Space group P4/mmm (No. 123)
Inequivalent atoms, fractional coordinates:
Tm 0.000 0.000 0.211 (multiplicity 2)
Cu 0.500 0.500 0.000 (multiplicity 1)
Pb 0.500 0.500 0.500 (multiplicity 1)

Values from the calculation:
Calculated formation energy   -0.3060 eV per atom
Density   10.594 g/cm3

=====

# 5
Density functional theory data (PBE-GGA) for Nd2ScSb after structural relaxation.

abc: 4.786 4.786 4.821
angles: 90.00 90.00 90.00
Space group P4/mmm (No. 123)
Inequivalent atoms, fractional coordinates:
Nd 0.000 0.500 0.000 (multiplicity 2)
Sc 0.000 0.000 0.500 (multiplicity 1)
Sb 0.500 0.500 0.500 (multiplicity 1)

Values from the calculation:
Formation energy without anion corrections   -495 meV per atom
Density   6.844 g/cm3

=====

# 6
Density functional theory data (PBE-GGA) for BeZn after structural relaxation.

abc: 8.986 2.573 4.432
angles: 90.00 117.23 90.00
Space group C2/m (No. 12)
Inequivalent atoms, fractional coordinates:
Be 0.136 0.000 0.312 (multiplicity 4)
Zn 0.117 0.500 0.799 (multiplicity 4)

Values from the calculation:
Calculated formation energy   0.1771 eV per atom
Density   5.425 g/cm3